Material: FeCoNi2
Method: DFT, GGA-PBEsol
State: optimized geometry

## Properties
The calculation puts the total energy at -29.09 eV per cell. For the formation energy, the calculation gives -0.02 eV per atom. The value obtained for the density is 9.1 g cm⁻³.

```
4
Lattice="3.504 0.000 0.000 0.000 3.504 0.000 -1.752 -1.752 3.433" Properties=species:S:1:pos:R:3 pbc="T T T"
Fe 0.000 1.752 1.716
Ni 1.752 1.752 0.000
Ni 1.752 0.000 1.716
Co 0.000 0.000 0.000
```